No. 1
Compound: Th3InRu3
Source: the Alexandria database
Functional: PBE
Structure: optimized geometry

The structure in CIF format:
```
data_Th3InRu3
_symmetry_space_group_name_H-M 'P 1'
_symmetry_Int_Tables_number 1
_symmetry_space_group_name_Hall 'P 1'
_cell_length_a 7.3000
_cell_length_b 7.3000
_cell_length_c 7.3000
_cell_angle_alpha 72.78
_cell_angle_beta 72.78
_cell_angle_gamma 72.78
loop_
_atom_site_label
_atom_site_type_symbol
_atom_site_fract_x
_atom_site_fract_y
_atom_site_fract_z
Th1 Th 0.1244 0.3731 0.8070
Th2 Th 0.1930 0.8756 0.6269
Th3 Th 0.3731 0.8070 0.1244
Th4 Th 0.6269 0.1930 0.8756
Th5 Th 0.8070 0.1244 0.3731
Th6 Th 0.8756 0.6269 0.1930
In1 In 0.3264 0.3264 0.3264
In2 In 0.6736 0.6736 0.6736
Ru1 Ru 0.0588 0.7005 0.4439
Ru2 Ru 0.2995 0.5561 0.9412
Ru3 Ru 0.4439 0.0588 0.7005
Ru4 Ru 0.5561 0.9412 0.2995
Ru5 Ru 0.7005 0.4439 0.0588
Ru6 Ru 0.9412 0.2995 0.5561
```

Output
For the density of states at the Fermi level, the calculation gives 0.656 states/eV per atom. The calculation puts the formation energy at -0.35 eV/atom. The space group is No. 148.

---

No. 2
Compound: ZrHgS2
Source: the Alexandria database
Functional: PBE
Structure: optimized geometry

The structure in CIF format:
```
data_ZrHgS2
_symmetry_space_group_name_H-M 'P 1'
_symmetry_Int_Tables_number 1
_symmetry_space_group_name_Hall 'P 1'
_cell_length_a 9.7722
_cell_length_b 9.7722
_cell_length_c 9.7722
_cell_angle_alpha 21.66
_cell_angle_beta 21.66
_cell_angle_gamma 21.66
loop_
_atom_site_label
_atom_site_type_symbol
_atom_site_fract_x
_atom_site_fract_y
_atom_site_fract_z
Zr1 Zr 0.0000 0.0000 0.0000
Hg1 Hg 0.8296 0.8296 0.8296
S1 S 0.3847 0.3847 0.3847
S2 S 0.6153 0.6153 0.6153
```

Output
For the density of states at the Fermi level, the calculation gives 0.062 states/eV per atom. The value obtained for the energy relative to the elements, uncorrected is -1.124 eV per atom. The space group is No. 160.

---

No. 3
Compound: MoPt2Au
Source: the Alexandria database
Functional: PBE
Structure: optimized geometry

The structure in CIF format:
```
data_MoPt2Au
_symmetry_space_group_name_H-M 'P 1'
_symmetry_Int_Tables_number 1
_symmetry_space_group_name_Hall 'P 1'
_cell_length_a 4.0644
_cell_length_b 4.0644
_cell_length_c 3.9780
_cell_angle_alpha 90.00
_cell_angle_beta 90.00
_cell_angle_gamma 90.00
loop_
_atom_site_label
_atom_site_type_symbol
_atom_site_fract_x
_atom_site_fract_y
_atom_site_fract_z
Mo1 Mo 0.0000 0.0000 0.0000
Pt1 Pt 0.0000 0.5000 0.5000
Pt2 Pt 0.5000 0.0000 0.5000
Au1 Au 0.5000 0.5000 0.0000
```

Output
For the density of states at the Fermi level, the calculation gives 0.898 states/eV per atom. The calculation puts the formation energy at 0.13 eV/atom. The space group is No. 123.

---

No. 4
Compound: Rb4NdSb3O12
Source: the Alexandria database
Functional: PBE
Structure: optimized geometry

The structure in CIF format:
```
data_Rb4NdSb3O12
_symmetry_space_group_name_H-M 'P 1'
_symmetry_Int_Tables_number 1
_symmetry_space_group_name_Hall 'P 1'
_cell_length_a 7.3469
_cell_length_b 7.3469
_cell_length_c 7.3469
_cell_angle_alpha 109.47
_cell_angle_beta 109.47
_cell_angle_gamma 109.47
loop_
_atom_site_label
_atom_site_type_symbol
_atom_site_fract_x
_atom_site_fract_y
_atom_site_fract_z
Rb1 Rb 0.0000 0.0000 0.5000
Rb2 Rb 0.0000 0.5000 0.0000
Rb3 Rb 0.5000 0.0000 0.0000
Rb4 Rb 0.5000 0.5000 0.5000
Nd1 Nd 0.0000 0.0000 0.0000
Sb1 Sb 0.0000 0.5000 0.5000
Sb2 Sb 0.5000 0.0000 0.5000
Sb3 Sb 0.5000 0.5000 0.0000
O1 O 0.0000 0.2735 0.2735
O2 O 0.0000 0.7265 0.7265
O3 O 0.2500 0.5000 0.7500
O4 O 0.2500 0.7500 0.5000
O5 O 0.2735 0.0000 0.2735
O6 O 0.2735 0.2735 0.0000
O7 O 0.5000 0.2500 0.7500
O8 O 0.5000 0.7500 0.2500
O9 O 0.7265 0.0000 0.7265
O10 O 0.7265 0.7265 0.0000
O11 O 0.7500 0.2500 0.5000
O12 O 0.7500 0.5000 0.2500
```

Output
For the density of states at the Fermi level, the calculation gives 0.459 states/eV per atom. The value obtained for the energy relative to the elements, uncorrected is -1.585 eV per atom. The space group is No. 229.

---

No. 5
Compound: TaHg2Au
Source: the Alexandria database
Functional: PBE
Structure: optimized geometry

The structure in CIF format:
```
data_TaHg2Au
_symmetry_space_group_name_H-M 'P 1'
_symmetry_Int_Tables_number 1
_symmetry_space_group_name_Hall 'P 1'
_cell_length_a 5.2375
_cell_length_b 5.2375
_cell_length_c 5.2375
_cell_angle_alpha 131.35
_cell_angle_beta 131.35
_cell_angle_gamma 71.26
loop_
_atom_site_label
_atom_site_type_symbol
_atom_site_fract_x
_atom_site_fract_y
_atom_site_fract_z
Ta1 Ta 0.0000 0.0000 0.0000
Hg1 Hg 0.2500 0.7500 0.5000
Hg2 Hg 0.7500 0.2500 0.5000
Au1 Au 0.5000 0.5000 0.0000
```

Output
For the density of states at the Fermi level, the calculation gives 0.869 states/eV per atom. The calculation puts the formation energy at 0.52 eV/atom. The space group is No. 139.

---

No. 6
Compound: CrFe2Ni4
Source: the Alexandria database
Functional: PBE
Structure: optimized geometry

The structure in CIF format:
```
data_CrFe2Ni4
_symmetry_space_group_name_H-M 'P 1'
_symmetry_Int_Tables_number 1
_symmetry_space_group_name_Hall 'P 1'
_cell_length_a 2.5014
_cell_length_b 4.9678
_cell_length_c 6.8201
_cell_angle_alpha 90.00
_cell_angle_beta 90.00
_cell_angle_gamma 90.00
loop_
_atom_site_label
_atom_site_type_symbol
_atom_site_fract_x
_atom_site_fract_y
_atom_site_fract_z
Cr1 Cr 0.0000 0.0000 0.0000
Fe1 Fe 0.0000 0.0000 0.5000
Fe2 Fe 0.0000 0.5000 0.0000
Ni1 Ni 0.5000 0.2549 0.2590
Ni2 Ni 0.5000 0.2549 0.7410
Ni3 Ni 0.5000 0.7451 0.2590
Ni4 Ni 0.5000 0.7451 0.7410
```

Output
For the density of states at the Fermi level, the calculation gives 1.064 states/eV per atom. The calculation puts the formation energy at 0.20 eV/atom. The space group is No. 47.

---

No. 7
Compound: Tb6Pr2Tm
Source: the Alexandria database
Functional: PBE
Structure: optimized geometry

The structure in CIF format:
```
data_Tb6Pr2Tm
_symmetry_space_group_name_H-M 'P 1'
_symmetry_Int_Tables_number 1
_symmetry_space_group_name_Hall 'P 1'
_cell_length_a 10.3767
_cell_length_b 10.3767
_cell_length_c 6.1673
_cell_angle_alpha 91.77
_cell_angle_beta 91.77
_cell_angle_gamma 117.66
loop_
_atom_site_label
_atom_site_type_symbol
_atom_site_fract_x
_atom_site_fract_y
_atom_site_fract_z
Tb1 Tb 0.0049 0.8345 0.9998
Tb2 Tb 0.0831 0.5839 0.2520
Tb3 Tb 0.1655 0.9951 0.5002
Tb4 Tb 0.3338 0.5062 0.9990
Tb5 Tb 0.4161 0.9169 0.2480
Tb6 Tb 0.4938 0.6662 0.5010
Tb7 Tb 0.5062 0.3338 0.4990
Tb8 Tb 0.5839 0.0831 0.7520
Tb9 Tb 0.6662 0.4938 0.0010
Tb10 Tb 0.8345 0.0049 0.4998
Tb11 Tb 0.9169 0.4161 0.7480
Tb12 Tb 0.9951 0.1655 0.0002
Pr1 Pr 0.1693 0.3311 0.4992
Pr2 Pr 0.3311 0.1693 0.9992
Pr3 Pr 0.6689 0.8307 0.0008
Pr4 Pr 0.8307 0.6689 0.5008
Tm1 Tm 0.2491 0.7509 0.7500
Tm2 Tm 0.7509 0.2491 0.2500
```

Output
For the density of states at the Fermi level, the calculation gives 1.662 states/eV per atom. The calculation puts the formation energy at 0.11 eV/atom. The space group is No. 15.

---

No. 8
Compound: Rb3LiCe3Te8
Source: the Alexandria database
Functional: PBE
Structure: optimized geometry

The structure in CIF format:
```
data_Rb3LiCe3Te8
_symmetry_space_group_name_H-M 'P 1'
_symmetry_Int_Tables_number 1
_symmetry_space_group_name_Hall 'P 1'
_cell_length_a 10.0508
_cell_length_b 10.0508
_cell_length_c 10.0508
_cell_angle_alpha 53.73
_cell_angle_beta 53.73
_cell_angle_gamma 53.73
loop_
_atom_site_label
_atom_site_type_symbol
_atom_site_fract_x
_atom_site_fract_y
_atom_site_fract_z
Rb1 Rb 0.0000 0.5000 0.5000
Rb2 Rb 0.5000 0.0000 0.5000
Rb3 Rb 0.5000 0.5000 0.0000
Li1 Li 0.5000 0.5000 0.5000
Ce1 Ce 0.0000 0.0000 0.5000
Ce2 Ce 0.0000 0.5000 0.0000
Ce3 Ce 0.5000 0.0000 0.0000
Te1 Te 0.2220 0.7353 0.7353
Te2 Te 0.2343 0.2343 0.2343
Te3 Te 0.2647 0.2647 0.7780
Te4 Te 0.2647 0.7780 0.2647
Te5 Te 0.7353 0.2220 0.7353
Te6 Te 0.7353 0.7353 0.2220
Te7 Te 0.7657 0.7657 0.7657
Te8 Te 0.7780 0.2647 0.2647
```

Output
For the density of states at the Fermi level, the calculation gives 0.389 states/eV per atom. The value obtained for the energy relative to the elements, uncorrected is -1.138 eV per atom. The space group is No. 166.

---

No. 9
Compound: TmAgPdF6
Source: the Alexandria database
Functional: PBE
Structure: optimized geometry

The structure in CIF format:
```
data_TmAgPdF6
_symmetry_space_group_name_H-M 'P 1'
_symmetry_Int_Tables_number 1
_symmetry_space_group_name_Hall 'P 1'
_cell_length_a 5.8266
_cell_length_b 5.8266
_cell_length_c 10.0985
_cell_angle_alpha 90.00
_cell_angle_beta 90.00
_cell_angle_gamma 120.00
loop_
_atom_site_label
_atom_site_type_symbol
_atom_site_fract_x
_atom_site_fract_y
_atom_site_fract_z
Tm1 Tm 0.3333 0.6667 0.2500
Tm2 Tm 0.6667 0.3333 0.7500
Ag1 Ag 0.0000 0.0000 0.0000
Ag2 Ag 0.0000 0.0000 0.5000
Pd1 Pd 0.3333 0.6667 0.7500
Pd2 Pd 0.6667 0.3333 0.2500
F1 F 0.0074 0.3610 0.1377
F2 F 0.0074 0.6464 0.3623
F3 F 0.3536 0.3610 0.3623
F4 F 0.3536 0.9926 0.1377
F5 F 0.3610 0.0074 0.6377
F6 F 0.3610 0.3536 0.8623
F7 F 0.6390 0.6464 0.1377
F8 F 0.6390 0.9926 0.3623
F9 F 0.6464 0.0074 0.8623
F10 F 0.6464 0.6390 0.6377
F11 F 0.9926 0.3536 0.6377
F12 F 0.9926 0.6390 0.8623
```

Output
The value obtained for the energy relative to the elements, uncorrected is -2.381 eV per atom. The space group is No. 163.

---

No. 10
Compound: CoAg2Pb2
Source: the Alexandria database
Functional: PBE
Structure: optimized geometry

The structure in CIF format:
```
data_CoAg2Pb2
_symmetry_space_group_name_H-M 'P 1'
_symmetry_Int_Tables_number 1
_symmetry_space_group_name_Hall 'P 1'
_cell_length_a 7.1210
_cell_length_b 7.1210
_cell_length_c 4.4510
_cell_angle_alpha 90.00
_cell_angle_beta 90.00
_cell_angle_gamma 90.00
loop_
_atom_site_label
_atom_site_type_symbol
_atom_site_fract_x
_atom_site_fract_y
_atom_site_fract_z
Co1 Co 0.0000 0.0000 0.0000
Co2 Co 0.5000 0.5000 0.0000
Ag1 Ag 0.1409 0.3591 0.5000
Ag2 Ag 0.3591 0.8591 0.5000
Ag3 Ag 0.6409 0.1409 0.5000
Ag4 Ag 0.8591 0.6409 0.5000
Pb1 Pb 0.1689 0.6689 0.0000
Pb2 Pb 0.3311 0.1689 0.0000
Pb3 Pb 0.6689 0.8311 0.0000
Pb4 Pb 0.8311 0.3311 0.0000
```

Output
For the density of states at the Fermi level, the calculation gives 0.653 states/eV per atom. The calculation puts the formation energy at 0.47 eV/atom. The space group is No. 127.

---

No. 11
Compound: Ac4Tl2Ag
Source: the Alexandria database
Functional: PBE
Structure: optimized geometry

The structure in CIF format:
```
data_Ac4Tl2Ag
_symmetry_space_group_name_H-M 'P 1'
_symmetry_Int_Tables_number 1
_symmetry_space_group_name_Hall 'P 1'
_cell_length_a 9.8527
_cell_length_b 9.8527
_cell_length_c 9.8527
_cell_angle_alpha 33.71
_cell_angle_beta 33.71
_cell_angle_gamma 33.71
loop_
_atom_site_label
_atom_site_type_symbol
_atom_site_fract_x
_atom_site_fract_y
_atom_site_fract_z
Ac1 Ac 0.1242 0.1242 0.1242
Ac2 Ac 0.3745 0.3745 0.3745
Ac3 Ac 0.6255 0.6255 0.6255
Ac4 Ac 0.8758 0.8758 0.8758
Tl1 Tl 0.2483 0.2483 0.2483
Tl2 Tl 0.7517 0.7517 0.7517
Ag1 Ag 0.0000 0.0000 0.0000
```

Output
For the density of states at the Fermi level, the calculation gives 1.408 states/eV per atom. The calculation puts the formation energy at -0.21 eV/atom. The space group is No. 166.

---

No. 12
Compound: CdAg2Au
Source: the Alexandria database
Functional: PBE
Structure: optimized geometry

The structure in CIF format:
```
data_CdAg2Au
_symmetry_space_group_name_H-M 'P 1'
_symmetry_Int_Tables_number 1
_symmetry_space_group_name_Hall 'P 1'
_cell_length_a 2.9762
_cell_length_b 2.9762
_cell_length_c 8.4063
_cell_angle_alpha 90.00
_cell_angle_beta 90.00
_cell_angle_gamma 90.00
loop_
_atom_site_label
_atom_site_type_symbol
_atom_site_fract_x
_atom_site_fract_y
_atom_site_fract_z
Cd1 Cd 0.0000 0.0000 0.0000
Ag1 Ag 0.5000 0.5000 0.2549
Ag2 Ag 0.5000 0.5000 0.7451
Au1 Au 0.0000 0.0000 0.5000
```

Output
For the density of states at the Fermi level, the calculation gives 0.239 states/eV per atom. The calculation puts the formation energy at -0.04 eV/atom. The space group is No. 123.